No. 1
Y2RhF2: PBEsol geometry, meta-GGA SCAN.

a b c (Å): 3.493 3.493 6.987
angles (deg): 104.47 104.47 90.00
Element x y z (fractional)
1 F 0.250 0.750 0.500
2 F 0.750 0.250 0.500
3 Y 0.372 0.372 0.744
4 Rh 0.000 0.000 0.000
5 Y 0.628 0.628 0.256

Output
**Formation energy (no corrections)**: -2.708 eV/atom



No. 2
ZrFe4W: PBEsol geometry, meta-GGA SCAN.

a b c (Å): 4.753 4.753 4.753
angles (deg): 60.00 60.00 60.00
Element x y z (fractional)
1 Fe 0.375 0.375 0.375
2 Fe 0.375 0.375 0.875
3 Fe 0.875 0.375 0.375
4 W 0.750 0.750 0.750
5 Fe 0.375 0.875 0.375
6 Zr 0.000 0.000 0.000

Output
**Calculated formation energy**: 0.16 eV per formula unit



No. 3
BeGa2AsBr: PBEsol geometry, meta-GGA SCAN.

a b c (Å): 5.065 5.318 5.318
angles (deg): 90.00 90.00 90.00
Element x y z (fractional)
1 Ga 0.000 0.500 0.000
2 Be 0.500 0.500 0.500
3 Br 0.000 0.000 0.000
4 Ga 0.000 0.000 0.500
5 As 0.500 0.000 0.000

Output
**Formation energy (no corrections)**: 1.253 eV/atom



No. 4
CoIr3Br: PBEsol geometry, meta-GGA SCAN.

a b c (Å): 4.519 4.519 4.519
angles (deg): 90.00 90.00 90.00
Element x y z (fractional)
1 Ir 0.000 0.000 0.500
2 Co 0.500 0.500 0.500
3 Ir 0.500 0.000 0.000
4 Ir 0.000 0.500 0.000
5 Br 0.000 0.000 0.000

Output
**Formation energy (no corrections)**: 2.233 eV/atom



No. 5
TcNi2Pt: PBEsol geometry, meta-GGA SCAN.

a b c (Å): 2.621 2.621 7.235
angles (deg): 90.00 90.00 90.00
Element x y z (fractional)
1 Ni 0.000 0.000 0.743
2 Ni 0.000 0.000 0.257
3 Tc 0.500 0.500 0.500
4 Pt 0.500 0.500 0.000

Output
**Calculated formation energy**: -0.24 eV per formula unit
**Excess energy over the best structure of this formula in the dataset**: 0.029 eV/atom



No. 6
CdRhPb: PBEsol geometry, meta-GGA SCAN.

a b c (Å): 4.493 4.493 4.493
angles (deg): 60.00 60.00 60.00
Element x y z (fractional)
1 Pb 0.500 0.500 0.500
2 Rh 0.250 0.250 0.250
3 Cd 0.000 0.000 0.000

Output
**Calculated formation energy**: -0.14 eV per formula unit



Number 1: E -22.02 eV per atom. Number 2: E -28.79 eV per atom. Number 3: E -14.09 eV per atom. Number 4: E -47.78 eV per atom. Number 5: E -34.46 eV per atom. Number 6: E -46.70 eV per atom.